Here is a relaxed structure of LaZn3Pt2 from the Alexandria database. Energies are from PBE-GGA.

* space group: C2/m, No. 12
* total DFT energy (no corrections): -49.88 eV for the cell shown
* formation enthalpy at 0 K: -0.68 eV per atom

a b c (Å): 8.2162 8.2162 7.9199
angles (deg): 116.74 116.74 29.37
Closest atoms and distances in Å follow each position.
Positions (direct):
La 0.1445 0.1445 0.0558  7 Pt 3.10-3.37, 3 Zn 3.36-3.44
La 0.8555 0.8555 0.9442  7 Pt 3.10-3.37, 3 Zn 3.36-3.44
Zn 0.0402 0.0402 0.3857  3 Pt 2.56-2.63, 1 Zn 2.66
Zn 0.3125 0.3125 0.5365  4 Pt 2.59-2.72, 3 Zn 2.66-2.75
Zn 0.4017 0.4017 0.3231  3 Pt 2.56-2.63, 1 Zn 2.66
Zn 0.5983 0.5983 0.6769  3 Pt 2.56-2.63, 1 Zn 2.66
Zn 0.6875 0.6875 0.4635  4 Pt 2.59-2.72, 3 Zn 2.66-2.75
Zn 0.9598 0.9598 0.6143  3 Pt 2.56-2.63, 1 Zn 2.66
Pt 0.2036 0.2036 0.6983  6 Zn 2.59-2.72
Pt 0.4831 0.4831 0.8202  4 Zn 2.56-2.59, 1 Pt 2.64
Pt 0.5169 0.5169 0.1798  4 Zn 2.56-2.59, 1 Pt 2.64
Pt 0.7964 0.7964 0.3017  6 Zn 2.59-2.72

Here is a relaxed structure of Mg3SeO from the Alexandria database. Energies are from PBE-GGA.

* space group: Pm-3m, No. 221
* formation energy without anion corrections: 0.212 eV/atom
* total DFT energy (no corrections): -12.17 eV for the cell shown

a b c (Å): 4.9868 4.9868 4.9868
angles (deg): 90.00 90.00 90.00
Closest atoms and distances in Å follow each position.
Positions (direct):
Mg 0.0000 0.0000 0.5000  2 Se 2.49
Mg 0.0000 0.5000 0.0000  2 Se 2.49
Mg 0.5000 0.0000 0.0000  2 Se 2.49
Se 0.0000 0.0000 0.0000  6 Mg 2.49
O 0.5000 0.5000 0.5000  12 Mg 3.53

Here is a relaxed structure of NdHo2TmSe4 from the Alexandria database. Energies are from PBE-GGA.

* space group: P2/m, No. 10
* formation energy without anion corrections: -1.727 eV/atom
* total DFT energy (no corrections): -46.15 eV for the cell shown

a b c (Å): 7.0444 4.0270 7.2109
angles (deg): 90.00 108.67 90.00
Closest atoms and distances in Å follow each position.
Positions (direct):
Nd 0.0000 0.0000 0.0000  6 Se 2.96
Ho 0.5000 0.0000 0.5000  6 Se 2.83-2.84
Ho 0.5000 0.5000 0.0000  6 Se 2.91-2.92
Tm 0.0000 0.5000 0.5000  6 Se 2.87-2.88
Se 0.2520 0.0000 0.7417  3 Ho 2.84-2.91, 2 Tm 2.87, 1 Nd 2.96
Se 0.2591 0.5000 0.2622  3 Ho 2.83-2.92, 1 Tm 2.88, 2 Nd 2.96
Se 0.7409 0.5000 0.7378  3 Ho 2.83-2.92, 1 Tm 2.88, 2 Nd 2.96
Se 0.7480 0.0000 0.2583  3 Ho 2.84-2.91, 2 Tm 2.87, 1 Nd 2.96

Here is a relaxed structure of Np2P2HRu2 from the Alexandria database. Energies are from PBE-GGA.

* space group: I4/mmm, No. 139
* total DFT energy (no corrections): -124.29 eV for the cell shown

a b c (Å): 3.9544 3.9544 13.7252
angles (deg): 90.00 90.00 90.00
Closest atoms and distances in Å follow each position.
Positions (direct):
Np 0.0000 0.0000 0.1768  1 H 2.43
Np 0.0000 0.0000 0.8232  1 H 2.43
Np 0.5000 0.5000 0.3232  1 H 2.43
Np 0.5000 0.5000 0.6768  1 H 2.43
P 0.0000 0.0000 0.3909  4 Ru 2.48
P 0.0000 0.0000 0.6091  4 Ru 2.48
P 0.5000 0.5000 0.1091  4 Ru 2.48
P 0.5000 0.5000 0.8909  4 Ru 2.48
H 0.0000 0.0000 0.0000  4 Ru 1.98
H 0.5000 0.5000 0.5000  4 Ru 1.98
Ru 0.0000 0.5000 0.0000  2 H 1.98
Ru 0.0000 0.5000 0.5000  2 H 1.98
Ru 0.5000 0.0000 0.0000  2 H 1.98
Ru 0.5000 0.0000 0.5000  2 H 1.98

Here is a relaxed structure of Ac8Nd4Tm from the Alexandria database. Energies are from PBE-GGA.

* space group: R-3m, No. 166
* total DFT energy (no corrections): -51.18 eV for the cell shown
* formation enthalpy at 0 K: 0.40 eV per atom

a b c (Å): 8.3627 8.3627 8.3627
angles (deg): 90.12 90.12 90.12
Closest atoms and distances in Å follow each position.
Positions (direct):
Ac 0.2406 0.2406 0.2406  4 Nd 3.48-3.67, 1 Tm 3.75
Ac 0.2405 0.2405 0.7582  4 Nd 3.49-3.67, 1 Tm 3.75
Ac 0.2405 0.7582 0.2405  4 Nd 3.49-3.67, 1 Tm 3.75
Ac 0.2418 0.7595 0.7595  4 Nd 3.49-3.67, 1 Tm 3.75
Ac 0.7582 0.2405 0.2405  4 Nd 3.49-3.67, 1 Tm 3.75
Ac 0.7595 0.2418 0.7595  4 Nd 3.49-3.67, 1 Tm 3.75
Ac 0.7595 0.7595 0.2418  4 Nd 3.49-3.67, 1 Tm 3.75
Ac 0.7594 0.7594 0.7594  4 Nd 3.48-3.67, 1 Tm 3.75
Nd 0.0000 0.0000 0.0000  8 Ac 3.48-3.49
Nd 0.0000 0.5000 0.5000  8 Ac 3.67
Nd 0.5000 0.0000 0.5000  8 Ac 3.67
Nd 0.5000 0.5000 0.0000  8 Ac 3.67
Tm 0.5000 0.5000 0.5000  8 Ac 3.75, 6 Nd 4.18

Here is a relaxed structure of Al5Hg12Te3 from the Alexandria database. Energies are from PBE-GGA.

* space group: Ia-3d, No. 230
* formation energy without anion corrections: 0.099 eV/atom
* total DFT energy (no corrections): -119.09 eV for the cell shown

a b c (Å): 14.4992 14.4992 14.4992
angles (deg): 109.47 109.47 109.47
Closest atoms and distances in Å follow each position.
Positions (direct):
Al 0.0000 0.0000 0.0000  6 Hg 2.73
Al 0.0000 0.0000 0.5000  6 Hg 2.73
Al 0.0000 0.5000 0.0000  6 Hg 2.73
Al 0.0000 0.5000 0.5000  6 Hg 2.73
Al 0.1250 0.7500 0.8750  4 Hg 2.64
Al 0.1250 0.8750 0.2500  4 Hg 2.64
Al 0.2500 0.1250 0.8750  4 Hg 2.64
Al 0.2500 0.6250 0.3750  4 Hg 2.64
Al 0.3750 0.2500 0.6250  4 Hg 2.64
Al 0.3750 0.6250 0.7500  4 Hg 2.64
Al 0.5000 0.0000 0.0000  6 Hg 2.73
Al 0.5000 0.0000 0.5000  6 Hg 2.73
Al 0.5000 0.5000 0.0000  6 Hg 2.73
Al 0.5000 0.5000 0.5000  6 Hg 2.73
Al 0.6250 0.3750 0.2500  4 Hg 2.64
Al 0.6250 0.7500 0.3750  4 Hg 2.64
Al 0.7500 0.3750 0.6250  4 Hg 2.64
Al 0.7500 0.8750 0.1250  4 Hg 2.64
Al 0.8750 0.1250 0.7500  4 Hg 2.64
Al 0.8750 0.2500 0.1250  4 Hg 2.64
Hg 0.0390 0.2134 0.1161  2 Al 2.64-2.73
Hg 0.0390 0.3256 0.9229  2 Al 2.64-2.73
Hg 0.0771 0.6161 0.4027  2 Al 2.64-2.73
Hg 0.0771 0.9610 0.6744  2 Al 2.64-2.73
Hg 0.0973 0.7134 0.6744  2 Al 2.64-2.73
Hg 0.0973 0.8839 0.4229  2 Al 2.64-2.73
Hg 0.1161 0.0390 0.2134  2 Al 2.64-2.73
Hg 0.1161 0.5771 0.9027  2 Al 2.64-2.73
Hg 0.1744 0.2134 0.5973  2 Al 2.64-2.73
Hg 0.1744 0.4610 0.5771  2 Al 2.64-2.73
Hg 0.2134 0.1161 0.0390  2 Al 2.64-2.73
Hg 0.2134 0.5973 0.1744  2 Al 2.64-2.73
Hg 0.2866 0.3256 0.9027  2 Al 2.64-2.73
Hg 0.2866 0.4610 0.3839  2 Al 2.64-2.73
Hg 0.3256 0.9027 0.2866  2 Al 2.64-2.73
Hg 0.3256 0.9229 0.0390  2 Al 2.64-2.73
Hg 0.3839 0.2866 0.4610  2 Al 2.64-2.73
Hg 0.3839 0.5973 0.9229  2 Al 2.64-2.73
Hg 0.4027 0.0771 0.6161  2 Al 2.64-2.73
Hg 0.4027 0.8256 0.7866  2 Al 2.64-2.73
Hg 0.4229 0.0973 0.8839  2 Al 2.64-2.73
Hg 0.4229 0.8256 0.5390  2 Al 2.64-2.73
Hg 0.4610 0.3839 0.2866  2 Al 2.64-2.73
Hg 0.4610 0.5771 0.1744  2 Al 2.64-2.73
Hg 0.5390 0.4229 0.8256  2 Al 2.64-2.73
Hg 0.5390 0.6161 0.7134  2 Al 2.64-2.73
Hg 0.5771 0.1744 0.4610  2 Al 2.64-2.73
Hg 0.5771 0.9027 0.1161  2 Al 2.64-2.73
Hg 0.5973 0.1744 0.2134  2 Al 2.64-2.73
Hg 0.5973 0.9229 0.3839  2 Al 2.64-2.73
Hg 0.6161 0.4027 0.0771  2 Al 2.64-2.73
Hg 0.6161 0.7134 0.5390  2 Al 2.64-2.73
Hg 0.6744 0.0771 0.9610  2 Al 2.64-2.73
Hg 0.6744 0.0973 0.7134  2 Al 2.64-2.73
Hg 0.7134 0.5390 0.6161  2 Al 2.64-2.73
Hg 0.7134 0.6744 0.0973  2 Al 2.64-2.73
Hg 0.7866 0.4027 0.8256  2 Al 2.64-2.73
Hg 0.7866 0.8839 0.9610  2 Al 2.64-2.73
Hg 0.8256 0.5390 0.4229  2 Al 2.64-2.73
Hg 0.8256 0.7866 0.4027  2 Al 2.64-2.73
Hg 0.8839 0.4229 0.0973  2 Al 2.64-2.73
Hg 0.8839 0.9610 0.7866  2 Al 2.64-2.73
Hg 0.9027 0.1161 0.5771  2 Al 2.64-2.73
Hg 0.9027 0.2866 0.3256  2 Al 2.64-2.73
Hg 0.9229 0.0390 0.3256  2 Al 2.64-2.73
Hg 0.9229 0.3839 0.5973  2 Al 2.64-2.73
Hg 0.9610 0.6744 0.0771  2 Al 2.64-2.73
Hg 0.9610 0.7866 0.8839  2 Al 2.64-2.73
Te 0.1250 0.2500 0.3750  8 Hg 3.10-3.32
Te 0.1250 0.3750 0.7500  8 Hg 3.10-3.32
Te 0.2500 0.3750 0.1250  8 Hg 3.10-3.32
Te 0.2500 0.8750 0.6250  8 Hg 3.10-3.32
Te 0.3750 0.1250 0.2500  8 Hg 3.10-3.32
Te 0.3750 0.7500 0.1250  8 Hg 3.10-3.32
Te 0.6250 0.2500 0.8750  8 Hg 3.10-3.32
Te 0.6250 0.8750 0.7500  8 Hg 3.10-3.32
Te 0.7500 0.1250 0.3750  8 Hg 3.10-3.32
Te 0.7500 0.6250 0.8750  8 Hg 3.10-3.32
Te 0.8750 0.6250 0.2500  8 Hg 3.10-3.32
Te 0.8750 0.7500 0.6250  8 Hg 3.10-3.32

Here is a relaxed structure of Ba3NaSi from the Alexandria database. Energies are from PBE-GGA.

* space group: Pm-3m, No. 221
* formation energy without anion corrections: -0.073 eV/atom
* total DFT energy (no corrections): -12.87 eV for the cell shown

a b c (Å): 6.5424 6.5424 6.5424
angles (deg): 90.00 90.00 90.00
Closest atoms and distances in Å follow each position.
Positions (direct):
Ba 0.0000 0.0000 0.5000  2 Si 3.27
Ba 0.0000 0.5000 0.0000  2 Si 3.27
Ba 0.5000 0.0000 0.0000  2 Si 3.27
Na 0.5000 0.5000 0.5000  12 Ba 4.63
Si 0.0000 0.0000 0.0000  6 Ba 3.27

Here is a relaxed structure of PmHoBiO2 from the Alexandria database. Energies are from PBE-GGA.

* space group: I4mm, No. 107
* formation energy without anion corrections: -2.644 eV/atom
* total DFT energy (no corrections): -72.69 eV for the cell shown

a b c (Å): 3.9309 3.9309 13.7450
angles (deg): 90.00 90.00 90.00
Closest atoms and distances in Å follow each position.
Positions (direct):
Pm 0.0000 0.0000 0.0000  4 O 2.31
Pm 0.5000 0.5000 0.5000  4 O 2.31
Ho 0.0000 0.0000 0.3351  4 O 2.23
Ho 0.5000 0.5000 0.8351  4 O 2.23
Bi 0.0000 0.0000 0.6689  4 Ho 3.60, 4 Pm 3.62, 4 O 3.87, 4 Bi 3.93
Bi 0.5000 0.5000 0.1689  4 Ho 3.60, 4 Pm 3.62, 4 O 3.87, 4 Bi 3.93
O 0.0000 0.5000 0.4116  2 Ho 2.23, 2 Pm 2.31
O 0.0000 0.5000 0.9116  2 Ho 2.23, 2 Pm 2.31
O 0.5000 0.0000 0.4116  2 Ho 2.23, 2 Pm 2.31
O 0.5000 0.0000 0.9116  2 Ho 2.23, 2 Pm 2.31